No. 1
VOs3Au | PBE-GGA | relaxed

Summary:
The space-group type is No. 221. For the density of states at the Fermi level, the calculation gives 0.8867 states/eV per atom. The formation energy comes out at 1741 meV per atom.

Lattice parameters (Å, degrees): 4.4898 4.4898 4.4898 90.00 90.00 90.00
With the nearest neighbours (Å) after each atom.
Positions (direct):
1 Au 0.5000 0.5000 0.5000  12 Os 3.17
2 Os 0.0000 0.0000 0.5000  2 V 2.24
3 V 0.0000 0.0000 0.0000  6 Os 2.24
4 Os 0.0000 0.5000 0.0000  2 V 2.24
5 Os 0.5000 0.0000 0.0000  2 V 2.24

***

No. 2
AcPmCd6 | PBE-GGA | relaxed

Summary:
The space-group type is No. 38. For the density of states at the Fermi level, the calculation gives 0.5562 states/eV per atom. The formation energy comes out at -276 meV per atom.

Lattice parameters (Å, degrees): 4.9962 6.8664 6.8664 115.13 90.00 90.00
With the nearest neighbours (Å) after each atom.
Positions (direct):
1 Cd 0.5000 0.9238 0.0762  8 Cd 3.09-3.46, 2 Pm 3.27
2 Cd 0.0000 0.0422 0.3696  6 Cd 3.03-3.24, 2 Ac 3.37
3 Cd 0.5000 0.8731 0.5568  5 Cd 3.06-3.24, 2 Pm 3.32, 1 Ac 3.43
4 Pm 0.0000 0.1053 0.8947  10 Cd 3.27-3.47
5 Cd 0.5000 0.4432 0.1269  5 Cd 3.06-3.24, 2 Pm 3.32, 1 Ac 3.43
6 Cd 0.0000 0.5896 0.4104  6 Cd 3.06-3.24, 2 Ac 3.39
7 Ac 0.5000 0.3922 0.6078  12 Cd 3.37-3.70
8 Cd 0.0000 0.6304 0.9578  6 Cd 3.03-3.24, 2 Ac 3.37

***

No. 3
Ac8AsP3Se4 | PBE-GGA | relaxed

Summary:
The uncorrected formation energy comes out at -1.75 eV/atom. The space-group type is No. 166. For the density of states at the Fermi level, the calculation gives 0.4026 states/eV per atom.

Lattice parameters (Å, degrees): 8.9140 8.9786 8.9140 119.76 120.00 90.00
With the nearest neighbours (Å) after each atom.
Positions (direct):
1 Se 0.5000 0.0000 0.5000  6 Ac 3.24
2 P 0.0000 0.5000 0.5000  6 Ac 3.09
3 P 0.5000 0.5000 0.0000  6 Ac 3.09
4 Ac 0.7409 0.7352 0.9880  2 P 3.09, 1 As 3.13, 3 Se 3.20-3.24
5 Ac 0.2472 0.7352 0.9880  2 P 3.09, 1 As 3.13, 3 Se 3.20-3.24
6 Ac 0.7528 0.2648 0.0120  2 P 3.09, 1 As 3.13, 3 Se 3.20-3.24
7 Ac 0.2559 0.2676 0.5117  3 P 3.09, 3 Se 3.24
8 Ac 0.7441 0.7324 0.4883  3 P 3.09, 3 Se 3.24
9 Se 0.5000 0.0000 0.0000  6 Ac 3.20
10 Se 0.0000 0.0000 0.5000  6 Ac 3.24
11 Se 0.0000 0.0000 0.0000  6 Ac 3.24
12 P 0.5000 0.5000 0.5000  6 Ac 3.09
13 As 0.0000 0.5000 0.0000  6 Ac 3.13
14 Ac 0.2591 0.2648 0.0120  2 P 3.09, 1 As 3.13, 3 Se 3.20-3.24
15 Ac 0.7529 0.2649 0.5057  2 P 3.09, 1 As 3.13, 3 Se 3.20-3.24
16 Ac 0.2471 0.7351 0.4943  2 P 3.09, 1 As 3.13, 3 Se 3.20-3.24

***

No. 4
MgBe2Al | PBE-GGA | relaxed

Summary:
The space-group type is No. 225. For the density of states at the Fermi level, the calculation gives 0.4387 states/eV per atom. The formation energy comes out at 330 meV per atom.

Lattice parameters (Å, degrees): 4.2124 4.2124 4.2124 60.00 60.00 60.00
With the nearest neighbours (Å) after each atom.
Positions (direct):
1 Mg 0.0000 0.0000 0.0000  8 Be 2.58
2 Al 0.5000 0.5000 0.5000  8 Be 2.58
3 Be 0.2500 0.2500 0.2500  4 Al 2.58, 4 Mg 2.58
4 Be 0.7500 0.7500 0.7500  4 Mg 2.58, 4 Al 2.58

***

No. 5
Sm4DyTm4 | PBE-GGA | relaxed

Summary:
The space-group type is No. 139. For the density of states at the Fermi level, the calculation gives 1.4838 states/eV per atom. The formation energy comes out at 23 meV per atom.

Lattice parameters (Å, degrees): 5.0155 7.9574 7.9574 84.30 71.63 71.63
With the nearest neighbours (Å) after each atom.
Positions (direct):
1 Tm 0.3340 0.0000 0.3321  6 Sm 3.54-3.57, 4 Tm 3.55-3.57, 2 Dy 3.55
2 Sm 0.0000 0.3310 0.6691  1 Dy 3.53, 6 Tm 3.54-3.57, 5 Sm 3.58-3.61
3 Sm 0.3309 0.6691 0.6690  1 Dy 3.53, 6 Tm 3.54-3.57, 5 Sm 3.58-3.61
4 Tm 0.6660 0.0000 0.6679  6 Sm 3.54-3.57, 4 Tm 3.55-3.57, 2 Dy 3.55
5 Dy 0.0000 0.0000 0.0000  4 Sm 3.53, 8 Tm 3.55
6 Sm 0.6691 0.3309 0.3310  1 Dy 3.53, 6 Tm 3.54-3.57, 5 Sm 3.58-3.61
7 Tm 0.6660 0.6679 0.0000  6 Sm 3.54-3.57, 4 Tm 3.55-3.57, 2 Dy 3.55
8 Tm 0.3340 0.3321 0.0000  6 Sm 3.54-3.57, 4 Tm 3.55-3.57, 2 Dy 3.55
9 Sm 0.0000 0.6690 0.3309  1 Dy 3.53, 6 Tm 3.54-3.57, 5 Sm 3.58-3.61

***

No. 6
La2SmY | PBE-GGA | relaxed

Summary:
The space-group type is No. 225. For the density of states at the Fermi level, the calculation gives 1.9494 states/eV per atom. The formation energy comes out at 94 meV per atom.

Lattice parameters (Å, degrees): 5.8515 5.8515 5.8515 60.00 60.00 60.00
With the nearest neighbours (Å) after each atom.
Positions (direct):
1 La 0.2500 0.2500 0.2500  4 Sm 3.58, 4 Y 3.58
2 La 0.7500 0.7500 0.7500  4 Y 3.58, 4 Sm 3.58
3 Y 0.5000 0.5000 0.5000  8 La 3.58
4 Sm 0.0000 0.0000 0.0000  8 La 3.58